NaPbC2 after structural relaxation. Source: the Alexandria database, functional PBE.

Results
- D(E_F) (states/eV/f.u.) = 1.40
- total magnetization (μB/cell) = 1.86
- final energy (eV/atom) = -3.8170
- space group = I-42d, No. 122
- calculated volume (A^3/atom) = 17.51

Cell lengths 5.6669, 5.6669, 5.6669 Å; angles 108.98, 108.98, 110.47 degrees
Last column: nearest neighbours and their distance in Å.
Atoms (fractional coordinates):
Na 0.0000 0.0000 0.0000  4 C 2.63
Na 0.7500 0.2500 0.5000  4 C 2.63
Pb 0.2500 0.7500 0.5000  4 C 2.31
Pb 0.5000 0.5000 0.0000  4 C 2.31
C 0.1614 0.6250 0.0364  2 Pb 2.31
C 0.3750 0.4114 0.5364  2 Pb 2.31
C 0.5886 0.1250 0.9636  2 Pb 2.31
C 0.8750 0.8386 0.4636  2 Pb 2.31